{
  "formula": "MnSeO3",
  "functional": "PBE with a Hubbard U",
  "state": "relaxed",
  "total_energy_ev_per_cell": -127.6,
  "crystal_system": "orthorhombic",
  "m_tot_mub_per_cell": 20.000,
  "rho_g_cm3": 4.68,
  "lattice": [[6.181, 0.000, 0.000], [0.000, 8.025, 0.000], [0.000, 0.000, 5.207]],
  "species": ["Mn", "Mn", "Mn", "Mn", "Se", "Se", "Se", "Se", "O", "O", "O", "O", "O", "O", "O", "O", "O", "O", "O", "O"],
  "fractional_positions": [[0.000, 0.000, 0.000], [0.000, 0.500, 0.000], [0.500, 0.000, 0.500], [0.500, 0.500, 0.500], [0.026, 0.250, 0.482], [0.474, 0.750, 0.982], [0.526, 0.250, 0.018], [0.974, 0.750, 0.518], [0.079, 0.250, 0.811], [0.181, 0.083, 0.364], [0.181, 0.417, 0.364], [0.319, 0.583, 0.864], [0.319, 0.917, 0.864], [0.421, 0.750, 0.311], [0.579, 0.250, 0.689], [0.681, 0.083, 0.136], [0.681, 0.417, 0.136], [0.819, 0.583, 0.636], [0.819, 0.917, 0.636], [0.921, 0.750, 0.189]]
}